Density functional theory data (PBE) for an optimized crystal structure of ZrAgMo3.

Geometry as CIF:
```
data_ZrAgMo3
_space_group_name_H-M_alt 'P m -3 m'
_space_group_IT_number 221
_space_group_name_Hall '-P 4 2 3'
_cell_length_a 4.7961
_cell_length_b 4.7961
_cell_length_c 4.7961
_cell_angle_alpha 90.00
_cell_angle_beta 90.00
_cell_angle_gamma 90.00
loop_
_atom_site_label
_atom_site_fract_x
_atom_site_fract_y
_atom_site_fract_z
_atom_site_occupancy
Zr1 0.0000 0.0000 0.0000 1
Ag1 0.5000 0.5000 0.5000 1
Mo1 0.0000 0.5000 0.5000 1
```

Output
Energy ... -6.67 eV per atom
Excess energy over the best structure of this formula in the dataset ... 54.9 meV/atom
Energy relative to the elements ... 2107 meV/atom